(1)
This record from the Alexandria database describes La2Pr3Ho3 after structural relaxation. The functional is PBE.

Lattice parameters (Å, degrees): 5.1472 5.1874 10.9466 103.71 103.60 90.00
Fractional positions:
La (0.7500, 0.2500, 0.5000)
La (0.2500, 0.7500, 0.5000)
Pr (0.6224, 0.6224, 0.2448)
Pr (0.3776, 0.3776, 0.7552)
Pr (0.5000, 0.0000, 0.0000)
Ho (0.1229, 0.1229, 0.2458)
Ho (0.0000, 0.5000, 0.0000)
Ho (0.8771, 0.8771, 0.7542)

Values from the calculation:
- space group = Immm, No. 71
- formation enthalpy at 0 K (kJ per mole of atoms) = 2.0
- offset from the most stable computed form (meV per atom) = 0
- final energy (eV/atom) = -4.72

---

(2)
This record from the Alexandria database describes Ho2AlSi3Ni12 after structural relaxation. The functional is PBE.

Lattice parameters (Å, degrees): 6.2456 6.2456 6.2456 84.24 84.24 84.24
Fractional positions:
Ho (0.6532, 0.6532, 0.6532)
Ho (0.3468, 0.3468, 0.3468)
Al (0.0000, 0.0000, 0.0000)
Si (0.5000, 0.0000, 0.0000)
Si (0.0000, 0.5000, 0.0000)
Si (0.0000, 0.0000, 0.5000)
Ni (0.3848, 0.3848, 0.9042)
Ni (0.8140, 0.8140, 0.2945)
Ni (0.2945, 0.8140, 0.8140)
Ni (0.9042, 0.3848, 0.3848)
Ni (0.8140, 0.2945, 0.8140)
Ni (0.3848, 0.9042, 0.3848)
Ni (0.6152, 0.6152, 0.0958)
Ni (0.1860, 0.1860, 0.7055)
Ni (0.7055, 0.1860, 0.1860)
Ni (0.0958, 0.6152, 0.6152)
Ni (0.1860, 0.7055, 0.1860)
Ni (0.6152, 0.0958, 0.6152)

Values from the calculation:
- space group = R-3m, No. 166
- formation energy (no corrections) (eV/atom) = -0.243
- final energy (eV/atom) = -5.72

---

(3)
This record from the Alexandria database describes Ba2MnZn after structural relaxation. The functional is PBE.

Lattice parameters (Å, degrees): 3.7799 3.7799 9.4553 90.00 90.00 90.00
Fractional positions:
Ba (0.0000, 0.0000, 0.9207)
Ba (0.5000, 0.5000, 0.3250)
Mn (0.0000, 0.0000, 0.5782)
Zn (0.5000, 0.5000, 0.6761)

Values from the calculation:
- space group = P4mm, No. 99
- formation enthalpy at 0 K (kJ per mole of atoms) = 25.6
- final energy (eV/atom) = -3.31

---

(4)
This record from the Alexandria database describes Lu2TlSn after structural relaxation. The functional is PBE.

Lattice parameters (Å, degrees): 4.2826 4.9018 4.9018 90.00 90.00 90.00
Fractional positions:
Tl (0.5000, 0.5000, 0.5000)
Lu (0.0000, 0.0000, 0.5000)
Lu (0.0000, 0.5000, 0.0000)
Sn (0.5000, 0.0000, 0.0000)

Values from the calculation:
- space group = P4/mmm, No. 123
- formation enthalpy at 0 K (kJ per mole of atoms) = -39.0
- offset from the most stable computed form (meV per atom) = 0
- final energy (eV/atom) = -4.26